[1]
Here is crystalline LiTmZnSe3 at its relaxed geometry from OQMD via LeMat-Bulk. Energies are from PBE.

Cell: 6.8325 6.8325 10.7684 Å, 90.00 90.00 146.52°
Fractional positions:
Li: 0.2248 0.7752 0.7500
Li: 0.7752 0.2248 0.2500
Tm: 0.0000 0.0000 0.0000
Tm: 0.0000 0.0000 0.5000
Zn: 0.4759 0.5241 0.2500
Zn: 0.5241 0.4759 0.7500
Se: 0.0930 0.9070 0.2500
Se: 0.3586 0.6414 0.0734
Se: 0.3586 0.6414 0.4266
Se: 0.6414 0.3586 0.5734
Se: 0.6414 0.3586 0.9266
Se: 0.9070 0.0930 0.7500

Calculated values
SG ... Cmcm, No. 63
Uncorrected energy ... -4.281 eV/atom

---

[2]
Here is crystalline Li2USe3 at its relaxed geometry from OQMD via LeMat-Bulk. Energies are from PBE.

Cell: 6.6382 6.6382 10.7924 Å, 90.00 90.00 144.17°
Fractional positions:
Li: 0.0189 0.9811 0.7500
Li: 0.2441 0.7559 0.2500
Li: 0.7559 0.2441 0.7500
Li: 0.9811 0.0189 0.2500
U: 0.5000 0.5000 0.0000
U: 0.5000 0.5000 0.5000
Se: 0.1396 0.8604 0.5718
Se: 0.1396 0.8604 0.9282
Se: 0.4085 0.5915 0.7500
Se: 0.5915 0.4085 0.2500
Se: 0.8604 0.1396 0.0718
Se: 0.8604 0.1396 0.4282

Calculated values
SG ... Cmcm, No. 63
Uncorrected energy ... -5.389 eV/atom

---

[3]
Here is crystalline LiU2Se6 at its relaxed geometry from OQMD via LeMat-Bulk. Energies are from PBE.

Cell: 10.5490 10.5490 10.5490 Å, 158.57 149.54 37.54°
Fractional positions:
Li: 0.0000 0.0000 0.0000
U: 0.3267 0.8267 0.5000
U: 0.6733 0.1733 0.5000
Se: 0.1549 0.4076 0.7473
Se: 0.2221 0.2221 0.0000
Se: 0.3397 0.5924 0.7473
Se: 0.6603 0.4076 0.2527
Se: 0.7779 0.7779 0.0000
Se: 0.8451 0.5924 0.2527

Calculated values
SG ... Immm, No. 71
Uncorrected energy ... -6.041 eV/atom

---

[4]
Here is crystalline Li2USe3 at its relaxed geometry from OQMD via LeMat-Bulk. Energies are from PBE.

Cell: 6.8619 6.8619 4.1541 Å, 90.00 90.00 131.31°
Fractional positions:
Li: 0.1372 0.8628 0.0000
Li: 0.8628 0.1372 0.0000
U: 0.5000 0.5000 0.5000
Se: 0.0000 0.0000 0.5000
Se: 0.3490 0.6510 0.0000
Se: 0.6510 0.3490 0.0000

Calculated values
SG ... Cmmm, No. 65
Uncorrected energy ... -5.473 eV/atom

---

[5]
Here is crystalline LiU3Se6 at its relaxed geometry from OQMD via LeMat-Bulk. Energies are from PBE.

Cell: 8.7220 8.7220 6.8900 Å, 90.00 90.00 101.47°
Fractional positions:
Li: 0.1934 0.8066 0.5000
Li: 0.8066 0.1934 0.0000
U: 0.0753 0.2786 0.5289
U: 0.2786 0.0753 0.0289
U: 0.3968 0.6032 0.1346
U: 0.6032 0.3968 0.6346
U: 0.7214 0.9247 0.5289
U: 0.9247 0.7214 0.0289
Se: 0.0267 0.9733 0.3102
Se: 0.0936 0.5558 0.3026
Se: 0.2314 0.7686 0.8670
Se: 0.3017 0.3723 0.8321
Se: 0.3723 0.3017 0.3321
Se: 0.4442 0.9064 0.3026
Se: 0.5558 0.0936 0.8026
Se: 0.6277 0.6983 0.8321
Se: 0.6983 0.6277 0.3321
Se: 0.7686 0.2314 0.3670
Se: 0.9064 0.4442 0.8026
Se: 0.9733 0.0267 0.8102

Calculated values
SG ... Cmc2_1, No. 36
Uncorrected energy ... -6.832 eV/atom

---

[6]
Here is crystalline LiU4Se at its relaxed geometry from OQMD via LeMat-Bulk. Energies are from PBE.

Cell: 6.1502 6.1502 6.1502 Å, 48.08 48.08 48.08°
Fractional positions:
Li: 0.0000 0.0000 0.0000
U: 0.1820 0.1820 0.1820
U: 0.3349 0.3349 0.3349
U: 0.6651 0.6651 0.6651
U: 0.8180 0.8180 0.8180
Se: 0.5000 0.5000 0.5000

Calculated values
SG ... R-3m, No. 166
Uncorrected energy ... -8.389 eV/atom

---

[7]
Here is crystalline Li2WSe4 at its relaxed geometry from OQMD via LeMat-Bulk. Energies are from PBE.

Cell: 7.7525 7.7525 7.7525 Å, 60.00 60.00 60.00°
Fractional positions:
Li: 0.0000 0.0000 0.0000
Li: 0.0000 0.0000 0.5000
Li: 0.0000 0.5000 0.0000
Li: 0.5000 0.0000 0.0000
W: 0.3750 0.3750 0.3750
W: 0.6250 0.6250 0.6250
Se: 0.2519 0.2519 0.2519
Se: 0.2519 0.2519 0.7444
Se: 0.2519 0.7444 0.2519
Se: 0.2556 0.7481 0.7481
Se: 0.7444 0.2519 0.2519
Se: 0.7481 0.2556 0.7481
Se: 0.7481 0.7481 0.2556
Se: 0.7481 0.7481 0.7481

Calculated values
SG ... Fd-3m, No. 227
Uncorrected energy ... -4.986 eV/atom

---

[8]
Here is crystalline LiYZnSe3 at its relaxed geometry from OQMD via LeMat-Bulk. Energies are from PBE.

Cell: 6.8125 6.8125 10.9025 Å, 90.00 90.00 146.15°
Fractional positions:
Li: 0.2268 0.7732 0.7500
Li: 0.7732 0.2268 0.2500
Y: 0.0000 0.0000 0.0000
Y: 0.0000 0.0000 0.5000
Zn: 0.4752 0.5248 0.2500
Zn: 0.5248 0.4752 0.7500
Se: 0.0927 0.9073 0.2500
Se: 0.3566 0.6434 0.0763
Se: 0.3566 0.6434 0.4237
Se: 0.6434 0.3566 0.5763
Se: 0.6434 0.3566 0.9237
Se: 0.9073 0.0927 0.7500

Calculated values
SG ... Cmcm, No. 63
Uncorrected energy ... -4.622 eV/atom

---

[9]
Here is crystalline Li2ZrSe3 at its relaxed geometry from OQMD via LeMat-Bulk. Energies are from PBE.

Cell: 6.7171 6.7171 10.2808 Å, 90.00 90.00 146.76°
Fractional positions:
Li: 0.0213 0.9787 0.7500
Li: 0.2426 0.7574 0.2500
Li: 0.7574 0.2426 0.7500
Li: 0.9787 0.0213 0.2500
Zr: 0.5000 0.5000 0.0000
Zr: 0.5000 0.5000 0.5000
Se: 0.1381 0.8619 0.5637
Se: 0.1381 0.8619 0.9363
Se: 0.4075 0.5925 0.7500
Se: 0.5925 0.4075 0.2500
Se: 0.8619 0.1381 0.0637
Se: 0.8619 0.1381 0.4363

Calculated values
SG ... Cmcm, No. 63
Uncorrected energy ... -5.021 eV/atom

---

[10]
Here is crystalline LiZr3Se5 at its relaxed geometry from OQMD via LeMat-Bulk. Energies are from PBE.

Cell: 6.2061 6.2061 7.4648 Å, 90.00 90.00 120.00°
Fractional positions:
Li: 0.0000 0.0000 0.0000
Zr: 0.0000 0.5000 0.5000
Zr: 0.5000 0.0000 0.5000
Zr: 0.5000 0.5000 0.5000
Se: 0.0000 0.0000 0.5000
Se: 0.3333 0.6667 0.2293
Se: 0.3333 0.6667 0.7707
Se: 0.6667 0.3333 0.2293
Se: 0.6667 0.3333 0.7707

Calculated values
SG ... P6/mmm, No. 191
Uncorrected energy ... -6.010 eV/atom

---

[11]
Here is crystalline Li2ZrSe3 at its relaxed geometry from OQMD via LeMat-Bulk. Energies are from PBE.

Cell: 6.8535 3.8595 9.7721 Å, 90.00 96.58 90.00°
Fractional positions:
Li: 0.0986 0.2500 0.1676
Li: 0.1869 0.7500 0.5513
Li: 0.8131 0.2500 0.4487
Li: 0.9014 0.7500 0.8324
Zr: 0.3791 0.2500 0.8218
Zr: 0.6209 0.7500 0.1782
Se: 0.0356 0.2500 0.6805
Se: 0.2621 0.7500 0.9993
Se: 0.4639 0.2500 0.3192
Se: 0.5361 0.7500 0.6808
Se: 0.7379 0.2500 0.0007
Se: 0.9644 0.7500 0.3195

Calculated values
SG ... P2_1/m, No. 11
Uncorrected energy ... -5.105 eV/atom

---

[12]
Here is crystalline Li2ZrSe3 at its relaxed geometry from OQMD via LeMat-Bulk. Energies are from PBE.

Cell: 12.7523 3.8569 10.8444 Å, 90.00 90.00 90.00°
Fractional positions:
Li: 0.0147 0.2500 0.0861
Li: 0.2399 0.7500 0.9418
Li: 0.2601 0.2500 0.4418
Li: 0.4853 0.7500 0.5861
Li: 0.5147 0.2500 0.4139
Li: 0.7399 0.7500 0.5582
Li: 0.7601 0.2500 0.0582
Li: 0.9853 0.7500 0.9139
Zr: 0.0018 0.7500 0.3349
Zr: 0.4982 0.2500 0.8349
Zr: 0.5018 0.7500 0.1651
Zr: 0.9982 0.2500 0.6651
Se: 0.1063 0.2500 0.8752
Se: 0.1210 0.7500 0.5565
Se: 0.1334 0.2500 0.2607
Se: 0.3666 0.7500 0.7607
Se: 0.3790 0.2500 0.0565
Se: 0.3937 0.7500 0.3752
Se: 0.6063 0.2500 0.6248
Se: 0.6210 0.7500 0.9435
Se: 0.6334 0.2500 0.2393
Se: 0.8666 0.7500 0.7393
Se: 0.8790 0.2500 0.4435
Se: 0.8937 0.7500 0.1248

Calculated values
SG ... Pnma, No. 62
Uncorrected energy ... -5.069 eV/atom

---

[13]
Here is crystalline Li2ZrSe3 at its relaxed geometry from OQMD via LeMat-Bulk. Energies are from PBE.

Cell: 6.7145 6.7145 6.6608 Å, 100.14 100.14 119.36°
Fractional positions:
Li: 0.0874 0.9126 0.7500
Li: 0.2570 0.7430 0.2500
Li: 0.7430 0.2570 0.7500
Li: 0.9126 0.0874 0.2500
Zr: 0.4163 0.5837 0.7500
Zr: 0.5837 0.4163 0.2500
Se: 0.0000 0.5000 0.5000
Se: 0.1769 0.3350 0.9934
Se: 0.3350 0.1769 0.4934
Se: 0.5000 0.0000 0.0000
Se: 0.6650 0.8231 0.5066
Se: 0.8231 0.6650 0.0066

Calculated values
SG ... C2/c, No. 15
Uncorrected energy ... -5.104 eV/atom

---

[14]
Here is crystalline Li2ZrSe3 at its relaxed geometry from OQMD via LeMat-Bulk. Energies are from PBE.

Cell: 6.6952 6.6952 6.7547 Å, 99.59 99.59 119.98°
Fractional positions:
Li: 0.0000 0.0000 0.0000
Li: 0.1656 0.8344 0.5000
Li: 0.5000 0.5000 0.5000
Li: 0.8344 0.1656 0.5000
Zr: 0.3327 0.6673 0.0000
Zr: 0.6673 0.3327 0.0000
Se: 0.0821 0.4242 0.2448
Se: 0.2602 0.2602 0.7535
Se: 0.4242 0.0821 0.2448
Se: 0.5758 0.9179 0.7552
Se: 0.7398 0.7398 0.2465
Se: 0.9179 0.5758 0.7552

Calculated values
SG ... C2/m, No. 12
Uncorrected energy ... -5.124 eV/atom

---

[15]
Here is crystalline Li2Sm2Si3 at its relaxed geometry from OQMD via LeMat-Bulk. Energies are from PBE.

Cell: 9.3984 9.3984 6.7432 Å, 90.00 90.00 153.31°
Fractional positions:
Li: 0.1885 0.8115 0.5612
Li: 0.1885 0.8115 0.9388
Li: 0.8115 0.1885 0.0612
Li: 0.8115 0.1885 0.4388
Sm: 0.3421 0.6579 0.7500
Sm: 0.4480 0.5520 0.2500
Sm: 0.5520 0.4480 0.7500
Sm: 0.6579 0.3421 0.2500
Si: 0.0586 0.9414 0.0737
Si: 0.0586 0.9414 0.4263
Si: 0.2800 0.7200 0.2500
Si: 0.7200 0.2800 0.7500
Si: 0.9414 0.0586 0.5737
Si: 0.9414 0.0586 0.9263

Calculated values
SG ... Cmcm, No. 63
Uncorrected energy ... -4.837 eV/atom

---

[16]
Here is crystalline LiSmSi at its relaxed geometry from OQMD via LeMat-Bulk. Energies are from PBE.

Cell: 4.7491 4.7491 4.7491 Å, 60.00 60.00 60.00°
Fractional positions:
Li: 0.0000 0.0000 0.0000
Sm: 0.2500 0.2500 0.2500
Si: 0.5000 0.5000 0.5000

Calculated values
SG ... F-43m, No. 216
Uncorrected energy ... -3.925 eV/atom

---

[17]
Here is crystalline LiSmSi at its relaxed geometry from OQMD via LeMat-Bulk. Energies are from PBE.

Cell: 4.7085 4.7085 4.7085 Å, 60.00 60.00 60.00°
Fractional positions:
Li: 0.0000 0.0000 0.0000
Sm: 0.5000 0.5000 0.5000
Si: 0.2500 0.2500 0.2500

Calculated values
SG ... F-43m, No. 216
Uncorrected energy ... -4.431 eV/atom

---

[18]
Here is crystalline Li3Sm3SiSn2 at its relaxed geometry from OQMD via LeMat-Bulk. Energies are from PBE.

Cell: 7.3987 7.3987 4.5370 Å, 90.00 90.00 120.00°
Fractional positions:
Li: 0.0000 0.7759 0.0000
Li: 0.2241 0.2241 0.0000
Li: 0.7759 0.0000 0.0000
Sm: 0.0000 0.4050 0.5000
Sm: 0.4050 0.0000 0.5000
Sm: 0.5950 0.5950 0.5000
Si: 0.0000 0.0000 0.5000
Sn: 0.3333 0.6667 0.0000
Sn: 0.6667 0.3333 0.0000

Calculated values
SG ... P-62m, No. 189
Uncorrected energy ... -4.299 eV/atom

---

[19]
Here is crystalline Li3Sm3Si2Sn at its relaxed geometry from OQMD via LeMat-Bulk. Energies are from PBE.

Cell: 7.2219 7.2219 4.3815 Å, 90.00 90.00 120.00°
Fractional positions:
Li: 0.0000 0.7591 0.0000
Li: 0.2409 0.2409 0.0000
Li: 0.7591 0.0000 0.0000
Sm: 0.0000 0.4434 0.5000
Sm: 0.4434 0.0000 0.5000
Sm: 0.5566 0.5566 0.5000
Si: 0.3333 0.6667 0.0000
Si: 0.6667 0.3333 0.0000
Sn: 0.0000 0.0000 0.5000

Calculated values
SG ... P-62m, No. 189
Uncorrected energy ... -4.476 eV/atom

---

[20]
Here is crystalline Li3Tb3Si2Sn at its relaxed geometry from OQMD via LeMat-Bulk. Energies are from PBE.

Cell: 7.0970 7.0970 4.3131 Å, 90.00 90.00 120.00°
Fractional positions:
Li: 0.0000 0.7564 0.0000
Li: 0.2436 0.2436 0.0000
Li: 0.7564 0.0000 0.0000
Tb: 0.0000 0.4446 0.5000
Tb: 0.4446 0.0000 0.5000
Tb: 0.5554 0.5554 0.5000
Si: 0.3333 0.6667 0.0000
Si: 0.6667 0.3333 0.0000
Sn: 0.0000 0.0000 0.5000

Calculated values
SG ... P-62m, No. 189
Uncorrected energy ... -4.461 eV/atom

---

[21]
Here is crystalline LiZnSiSn at its relaxed geometry from OQMD via LeMat-Bulk. Energies are from PBE.

Cell: 4.6935 4.6935 4.6935 Å, 60.00 60.00 60.00°
Fractional positions:
Li: 0.0000 0.0000 0.0000
Zn: 0.5000 0.5000 0.5000
Si: 0.2500 0.2500 0.2500
Sn: 0.7500 0.7500 0.7500

Calculated values
SG ... F-43m, No. 216
Uncorrected energy ... -3.022 eV/atom

---

[22]
Here is crystalline Li4Zn2SiSn at its relaxed geometry from OQMD via LeMat-Bulk. Energies are from PBE.

Cell: 4.3791 4.3791 8.2627 Å, 90.00 90.00 120.00°
Fractional positions:
Li: 0.0000 0.0000 0.1575
Li: 0.0000 0.0000 0.8425
Li: 0.3333 0.6667 0.3242
Li: 0.3333 0.6667 0.6758
Zn: 0.6667 0.3333 0.0000
Zn: 0.6667 0.3333 0.5000
Si: 0.3333 0.6667 0.0000
Sn: 0.0000 0.0000 0.5000

Calculated values
SG ... P-6m2, No. 187
Uncorrected energy ... -2.713 eV/atom